1.
CaHf3In after structural relaxation, computed with GGA-PBE.

Computed properties:
- E_form (kJ/mol of atoms) = 100.3
- space group = Pm-3m (221)
- E (eV/atom) = -5.881

a b c (Å): 5.3541 5.3541 5.3541
angles (deg): 90.00 90.00 90.00
Last column: nearest neighbours and their distance in Å.
Positions (direct):
Ca  0.0000  0.0000  0.0000  12 Hf 3.79
Hf  0.0000  0.5000  0.5000  2 In 2.68
Hf  0.5000  0.0000  0.5000  2 In 2.68
Hf  0.5000  0.5000  0.0000  2 In 2.68
In  0.5000  0.5000  0.5000  6 Hf 2.68

=====

2.
CaHf3In after structural relaxation, computed with GGA-PBE.

Computed properties:
- E_form (kJ/mol of atoms) = 161.4
- space group = Pm-3m (221)
- E (eV/atom) = -5.247

a b c (Å): 5.0575 5.0575 5.0575
angles (deg): 90.00 90.00 90.00
Last column: nearest neighbours and their distance in Å.
Positions (direct):
Ca  0.0000  0.0000  0.0000  6 Hf 2.53
Hf  0.0000  0.0000  0.5000  2 Ca 2.53
Hf  0.0000  0.5000  0.0000  2 Ca 2.53
Hf  0.5000  0.0000  0.0000  2 Ca 2.53
In  0.5000  0.5000  0.5000  12 Hf 3.58

=====

3.
CaHfNb2In after structural relaxation, computed with GGA-PBE.

Computed properties:
- E_form (kJ/mol of atoms) = 168.9
- space group = P4/mmm (123)
- E (eV/atom) = -5.216

a b c (Å): 4.7380 4.7380 5.2705
angles (deg): 90.00 90.00 90.00
Last column: nearest neighbours and their distance in Å.
Positions (direct):
Ca  0.0000  0.0000  0.0000  4 Nb 2.37, 2 In 2.64
Hf  0.5000  0.5000  0.5000  4 In 3.35, 8 Nb 3.54
Nb  0.0000  0.5000  0.0000  2 Ca 2.37
Nb  0.5000  0.0000  0.0000  2 Ca 2.37
In  0.0000  0.0000  0.5000  2 Ca 2.64

=====

4.
CaHfIn2O6 after structural relaxation, computed with GGA-PBE.

Computed properties:
- space group = R3 (146)
- E (eV/atom) = -7.146

a b c (Å): 5.9337 5.9337 5.9337
angles (deg): 56.33 56.33 56.33
Last column: nearest neighbours and their distance in Å.
Positions (direct):
Ca  0.0000  0.0000  0.0000  6 O 2.29-2.47
Hf  0.4903  0.4903  0.4903  6 O 2.08-2.15
In  0.2805  0.2805  0.2805  6 O 2.18-2.29
In  0.7831  0.7831  0.7831  6 O 2.13-2.33
O  0.1013  0.6611  0.4135  2 In 2.13-2.29, 1 Hf 2.15, 1 Ca 2.29
O  0.2061  0.5746  0.8723  1 Hf 2.08, 1 In 2.18
O  0.4135  0.1013  0.6611  2 In 2.13-2.29, 1 Hf 2.15, 1 Ca 2.29
O  0.5746  0.8724  0.2061  1 Hf 2.08, 1 In 2.18
O  0.6611  0.4135  0.1013  2 In 2.13-2.29, 1 Hf 2.15, 1 Ca 2.29
O  0.8724  0.2061  0.5746  1 Hf 2.08, 1 In 2.18

=====

5.
CaHfZnIn2 after structural relaxation, computed with GGA-PBE.

Computed properties:
- E_form (kJ/mol of atoms) = 31.1
- space group = P4/mmm (123)
- E (eV/atom) = -3.419

a b c (Å): 5.1156 5.1156 5.1484
angles (deg): 90.00 90.00 90.00
Last column: nearest neighbours and their distance in Å.
Positions (direct):
Ca  0.0000  0.0000  0.0000  4 Hf 3.62, 8 In 3.63
Hf  0.5000  0.5000  0.0000  2 Zn 2.57
Zn  0.5000  0.5000  0.5000  4 In 2.56, 2 Hf 2.57
In  0.0000  0.5000  0.5000  2 Zn 2.56
In  0.5000  0.0000  0.5000  2 Zn 2.56

=====

6.
Ca3HfIr after structural relaxation, computed with GGA-PBE.

Computed properties:
- E_form (kJ/mol of atoms) = 45.3
- space group = Pm-3m (221)
- E (eV/atom) = -4.494

a b c (Å): 5.4262 5.4262 5.4262
angles (deg): 90.00 90.00 90.00
Last column: nearest neighbours and their distance in Å.
Positions (direct):
Ca  0.0000  0.0000  0.5000  2 Ir 2.71
Ca  0.0000  0.5000  0.0000  2 Ir 2.71
Ca  0.5000  0.0000  0.0000  2 Ir 2.71
Hf  0.5000  0.5000  0.5000  12 Ca 3.84
Ir  0.0000  0.0000  0.0000  6 Ca 2.71

=====

7.
CaHf4Ir5 after structural relaxation, computed with GGA-PBE.

Computed properties:
- E_form (kJ/mol of atoms) = -81.8
- space group = P4/mmm (123)
- E (eV/atom) = -9.460

a b c (Å): 3.2867 3.2867 17.0841
angles (deg): 90.00 90.00 90.00
Last column: nearest neighbours and their distance in Å.
Positions (direct):
Ca  0.0000  0.0000  0.0000  8 Ir 3.18, 4 Ca 3.29
Hf  0.0000  0.0000  0.2086  8 Ir 2.71-2.92
Hf  0.0000  0.0000  0.4035  8 Ir 2.80-2.85
Hf  0.0000  0.0000  0.5965  8 Ir 2.80-2.85
Hf  0.0000  0.0000  0.7914  8 Ir 2.71-2.92
Ir  0.5000  0.5000  0.1269  4 Hf 2.71
Ir  0.5000  0.5000  0.3125  8 Hf 2.80-2.92
Ir  0.5000  0.5000  0.5000  8 Hf 2.85
Ir  0.5000  0.5000  0.6875  8 Hf 2.80-2.92
Ir  0.5000  0.5000  0.8731  4 Hf 2.71

=====

8.
CaHf2Ir after structural relaxation, computed with GGA-PBE.

Computed properties:
- E_form (kJ/mol of atoms) = -4.5
- space group = Fm-3m (225)
- E (eV/atom) = -7.739

a b c (Å): 4.8296 4.8296 4.8296
angles (deg): 60.00 60.00 60.00
Last column: nearest neighbours and their distance in Å.
Positions (direct):
Ca  0.0000  0.0000  0.0000  8 Hf 2.96
Hf  0.2500  0.2500  0.2500  4 Ca 2.96, 4 Ir 2.96
Hf  0.7500  0.7500  0.7500  4 Ca 2.96, 4 Ir 2.96
Ir  0.5000  0.5000  0.5000  8 Hf 2.96

=====

9.
CaHfIr2 after structural relaxation, computed with GGA-PBE.

Computed properties:
- E_form (kJ/mol of atoms) = -56.4
- space group = Fm-3m (225)
- E (eV/atom) = -8.003

a b c (Å): 4.6869 4.6869 4.6869
angles (deg): 60.00 60.00 60.00
Last column: nearest neighbours and their distance in Å.
Positions (direct):
Ca  0.0000  0.0000  0.0000  8 Ir 2.87
Hf  0.5000  0.5000  0.5000  8 Ir 2.87
Ir  0.2500  0.2500  0.2500  4 Hf 2.87, 4 Ca 2.87
Ir  0.7500  0.7500  0.7500  4 Hf 2.87, 4 Ca 2.87

=====

10.
CaHf2Ir after structural relaxation, computed with GGA-PBE.

Computed properties:
- E_form (kJ/mol of atoms) = -5.6
- space group = I-42d (122)
- E (eV/atom) = -7.750

a b c (Å): 6.4491 6.4491 6.4491
angles (deg): 102.51 102.51 124.52
Last column: nearest neighbours and their distance in Å.
Positions (direct):
Ca  0.0000  0.0000  0.0000  2 Ir 3.00, 4 Hf 3.35
Ca  0.7500  0.2500  0.5000  2 Ir 3.00, 4 Hf 3.35
Hf  0.1957  0.1250  0.5707  2 Ir 2.59
Hf  0.3750  0.8043  0.9293  2 Ir 2.59
Hf  0.5543  0.6250  0.4293  2 Ir 2.59
Hf  0.8750  0.4457  0.0707  2 Ir 2.59
Ir  0.2500  0.7500  0.5000  4 Hf 2.59
Ir  0.5000  0.5000  0.0000  4 Hf 2.59

=====

11.
CaHfIr3 after structural relaxation, computed with GGA-PBE.

Computed properties:
- E_form (kJ/mol of atoms) = 60.2
- space group = Pm-3m (221)
- E (eV/atom) = -7.084

a b c (Å): 4.8852 4.8852 4.8852
angles (deg): 90.00 90.00 90.00
Last column: nearest neighbours and their distance in Å.
Positions (direct):
Ca  0.0000  0.0000  0.0000  12 Ir 3.45
Hf  0.5000  0.5000  0.5000  6 Ir 2.44
Ir  0.0000  0.5000  0.5000  2 Hf 2.44
Ir  0.5000  0.0000  0.5000  2 Hf 2.44
Ir  0.5000  0.5000  0.0000  2 Hf 2.44

=====

12.
CaHfIr2 after structural relaxation, computed with GGA-PBE.

Computed properties:
- E_form (kJ/mol of atoms) = -12.4
- space group = I-42d (122)
- E (eV/atom) = -7.548

a b c (Å): 6.0089 6.0089 6.0089
angles (deg): 104.63 104.63 119.65
Last column: nearest neighbours and their distance in Å.
Positions (direct):
Ca  0.0000  0.0000  0.0000  4 Ir 2.85, 2 Hf 3.02
Ca  0.7500  0.2500  0.5000  4 Ir 2.85, 2 Hf 3.02
Hf  0.2500  0.7500  0.5000  4 Ir 2.57
Hf  0.5000  0.5000  0.0000  4 Ir 2.57
Ir  0.1529  0.6250  0.0279  2 Hf 2.57, 2 Ca 2.85
Ir  0.3750  0.4029  0.5279  2 Hf 2.57, 2 Ca 2.85
Ir  0.5971  0.1250  0.9721  2 Hf 2.57, 2 Ca 2.85
Ir  0.8750  0.8471  0.4721  2 Hf 2.57, 2 Ca 2.85

=====

13.
Ca3HfIr after structural relaxation, computed with GGA-PBE.

Computed properties:
- E_form (kJ/mol of atoms) = 163.6
- space group = Pm-3m (221)
- E (eV/atom) = -3.268

a b c (Å): 5.4865 5.4865 5.4865
angles (deg): 90.00 90.00 90.00
Last column: nearest neighbours and their distance in Å.
Positions (direct):
Ca  0.0000  0.0000  0.5000  2 Hf 2.74
Ca  0.0000  0.5000  0.0000  2 Hf 2.74
Ca  0.5000  0.0000  0.0000  2 Hf 2.74
Hf  0.0000  0.0000  0.0000  6 Ca 2.74
Ir  0.5000  0.5000  0.5000  12 Ca 3.88

=====

14.
CaHfIr2 after structural relaxation, computed with GGA-PBE.

Computed properties:
- E_form (kJ/mol of atoms) = -68.9
- space group = P4/mmm (123)
- E (eV/atom) = -8.133

a b c (Å): 3.2167 3.2167 7.2818
angles (deg): 90.00 90.00 90.00
Last column: nearest neighbours and their distance in Å.
Positions (direct):
Ca  0.0000  0.0000  0.0000  8 Ir 3.07, 4 Ca 3.22
Hf  0.0000  0.0000  0.5000  8 Ir 2.77
Ir  0.5000  0.5000  0.2833  4 Hf 2.77, 4 Ca 3.07
Ir  0.5000  0.5000  0.7167  4 Hf 2.77, 4 Ca 3.07

=====

no.,DOS at the Fermi energy (states/eV/atom)
1,2.9474
2,1.8768
3,1.3584
4,0.0000
5,0.3994
6,1.1074
7,0.5183
8,1.3185
9,0.1424
10,0.8307
11,1.1400
12,0.3759
13,1.8457
14,0.2506